An optimized crystal structure of ScMo2Ru, computed with PBE.

The structure in extended XYZ format:
```
8
Lattice="-3.3722 -3.4448 5.6697 0.9834 -6.5494 -3.3944 1.0936 -5.2722 2.3313" Properties=species:S:1:pos:R:3 pbc="T T T"
Mo -0.1133 -7.4510 2.7319
Mo -1.8406 -4.4218 3.9194
Sc 0.4412 -8.4094 0.0373
Mo -1.2324 -12.9502 3.6093
Ru -1.7366 -6.8571 4.5694
Sc -1.1944 -4.9971 1.1377
Mo 0.5957 -5.7100 -1.0473
Ru 0.0000 0.0000 0.0000
```

DOS(E_F) = 1.10 states/eV/atom
Crystal system = tetragonal
Symmetry = No. 122
Relative energy among the computed polymorphs = 563 meV/atom
DFT total energy = -35.45 eV per formula unit



An optimized crystal structure of MgTlInCl4, computed with PBE.

The structure in extended XYZ format:
```
14
Lattice="7.4004 0.0000 -0.0187 0.0000 7.3338 0.0000 -2.8988 0.0000 8.4341" Properties=species:S:1:pos:R:3 pbc="T T T"
Cl -0.4867 3.6846 1.9693
In 2.7388 5.5004 7.8658
In 1.7627 1.8335 0.5496
Tl -0.0458 1.8335 4.6191
Cl 1.4901 5.5004 4.7671
Cl 4.9882 0.0177 6.4461
Cl 4.9882 3.6492 6.4461
Cl 1.6691 1.8335 7.2719
Tl 4.5473 5.5004 3.7963
Cl -0.4867 7.3161 1.9693
Cl 2.8324 5.5004 1.1435
Mg 0.9262 5.5004 2.4919
Mg 3.5753 1.8335 5.9235
Cl 3.0114 1.8335 3.6483
```

DOS(E_F) = 0.00 states/eV/atom
Crystal system = monoclinic
Symmetry = No. 11
ΔE_f (raw) = -1.296 eV/atom
DFT total energy = -23.16 eV per formula unit



An optimized crystal structure of TmGaSn, computed with PBE.

The structure in extended XYZ format:
```
3
Lattice="-0.7143 1.3030 -4.1192 -0.2196 -4.1578 -1.2772 -3.6064 2.0773 1.2825" Properties=species:S:1:pos:R:3 pbc="T T T"
Sn -2.6701 0.3503 -0.6815
Tm -1.8490 -1.1664 -3.3101
Ga -0.0212 0.0387 -0.1223
```

DOS(E_F) = 0.20 states/eV/atom
Crystal system = trigonal
Symmetry = No. 156
DFT total energy = -12.85 eV per formula unit



An optimized crystal structure of Hf3CrBi, computed with PBE.

The structure in extended XYZ format:
```
5
Lattice="-2.3104 4.0809 1.3087 -1.8426 -2.2882 3.8824 3.8693 1.3471 2.6303" Properties=species:S:1:pos:R:3 pbc="T T T"
Hf -1.1552 2.0405 0.6543
Bi -0.1418 1.5699 3.9107
Hf 1.9346 0.6735 1.3151
Cr 0.0000 0.0000 0.0000
Hf -0.9213 -1.1441 1.9412
```

DOS(E_F) = 2.43 states/eV/atom
Crystal system = cubic
Symmetry = No. 221
Relative energy among the computed polymorphs = 0 meV/atom
DFT total energy = -41.18 eV per formula unit



An optimized crystal structure of BeReBr2, computed with PBE.

The structure in extended XYZ format:
```
4
Lattice="3.0442 0.0000 0.0000 0.0000 5.7401 0.0000 0.0000 0.0000 4.2870" Properties=species:S:1:pos:R:3 pbc="T T T"
Br 1.5221 2.8700 0.0000
Be 0.0000 2.8700 2.1435
Re 1.5221 0.0000 2.1435
Br 0.0000 0.0000 0.0000
```

DOS(E_F) = 0.55 states/eV/atom
Crystal system = orthorhombic
Symmetry = No. 47
ΔE_f (raw) = 1.252 eV/atom
Relative energy among the computed polymorphs = 1099 meV/atom
DFT total energy = -14.51 eV per formula unit



An optimized crystal structure of CeTh4Sn2, computed with PBE.

The structure in extended XYZ format:
```
7
Lattice="-2.5836 4.7619 0.3793 -0.8402 -0.0285 -5.3654 -5.3366 -6.2805 3.6176" Properties=species:S:1:pos:R:3 pbc="T T T"
Th -2.4392 -1.3544 0.3892
Th -6.3212 -0.1926 -1.7577
Ce 0.0000 0.0000 0.0000
Sn -5.1608 -2.8656 0.8234
Th -0.4201 -0.0142 -2.6827
Th -1.2918 2.3810 0.1897
Sn -3.5996 1.3186 -2.1919
```

DOS(E_F) = 1.63 states/eV/atom
Crystal system = tetragonal
Symmetry = No. 139
DFT total energy = -41.16 eV per formula unit



What did the third record say?
An optimized crystal structure of TmGaSn, computed with PBE.

The structure in extended XYZ format:
```
3
Lattice="-0.7143 1.3030 -4.1192 -0.2196 -4.1578 -1.2772 -3.6064 2.0773 1.2825" Properties=species:S:1:pos:R:3 pbc="T T T"
Sn -2.6701 0.3503 -0.6815
Tm -1.8490 -1.1664 -3.3101
Ga -0.0212 0.0387 -0.1223
```

DOS(E_F) = 0.20 states/eV/atom
Crystal system = trigonal
Symmetry = No. 156
DFT total energy = -12.85 eV per formula unit



What did the sixth record say?
An optimized crystal structure of CeTh4Sn2, computed with PBE.

The structure in extended XYZ format:
```
7
Lattice="-2.5836 4.7619 0.3793 -0.8402 -0.0285 -5.3654 -5.3366 -6.2805 3.6176" Properties=species:S:1:pos:R:3 pbc="T T T"
Th -2.4392 -1.3544 0.3892
Th -6.3212 -0.1926 -1.7577
Ce 0.0000 0.0000 0.0000
Sn -5.1608 -2.8656 0.8234
Th -0.4201 -0.0142 -2.6827
Th -1.2918 2.3810 0.1897
Sn -3.5996 1.3186 -2.1919
```

DOS(E_F) = 1.63 states/eV/atom
Crystal system = tetragonal
Symmetry = No. 139
DFT total energy = -41.16 eV per formula unit



- DFT total energy of number 1 (ScMo2Ru)?
  -35.45 eV per formula unit



- Which of these has the lowest DOS(E_F)?
  MgTlInCl4